Arrangement P

# PBE-GGA NaNiSb2I, optimized geometry
data_NaNiSb2I
_cell_length_a 4.734
_cell_length_b 4.734
_cell_length_c 9.465
_cell_angle_alpha 90.00
_cell_angle_beta 90.00
_cell_angle_gamma 90.00
_space_group_name_H-M_alt 'P 1'
_space_group_IT_number 1
loop_
_space_group_symop_operation_xyz
'x,y,z'
loop_
_atom_site_label
_atom_site_type_symbol
_atom_site_fract_x
_atom_site_fract_y
_atom_site_fract_z
Na1 Na 0.000 0.000 0.000
Ni1 Ni 0.500 0.500 0.500
Sb1 Sb 0.000 0.500 0.500
Sb2 Sb 0.500 0.000 0.500
I1 I 0.500 0.500 0.000
# Total magnetization (μB/f.u.): 0.00
# Space-group type: P4/mmm
# DOS(E_F) (states/eV/f.u.): 1.651



Arrangement Q

# PBE-GGA NaNiSb2I, optimized geometry
data_NaNiSb2I
_cell_length_a 5.401
_cell_length_b 5.401
_cell_length_c 5.563
_cell_angle_alpha 90.00
_cell_angle_beta 90.00
_cell_angle_gamma 90.00
_space_group_name_H-M_alt 'P 1'
_space_group_IT_number 1
loop_
_space_group_symop_operation_xyz
'x,y,z'
loop_
_atom_site_label
_atom_site_type_symbol
_atom_site_fract_x
_atom_site_fract_y
_atom_site_fract_z
Na1 Na 0.000 0.000 0.000
Ni1 Ni 0.500 0.500 0.500
Sb1 Sb 0.000 0.500 0.000
Sb2 Sb 0.500 0.000 0.000
I1 I 0.000 0.000 0.500
# Total magnetization (μB/f.u.): 0.00
# Space-group type: P4/mmm
# DOS(E_F) (states/eV/f.u.): 10.579



The relative energies come out as arrangement P 0.0; arrangement Q 119.5, with values in kJ/mol of atoms.



Arrangement P

# PBE-GGA NaNiTe2I, optimized geometry
data_NaNiTe2I
_cell_length_a 5.503
_cell_length_b 5.503
_cell_length_c 5.799
_cell_angle_alpha 90.00
_cell_angle_beta 90.00
_cell_angle_gamma 90.00
_space_group_name_H-M_alt 'P 1'
_space_group_IT_number 1
loop_
_space_group_symop_operation_xyz
'x,y,z'
loop_
_atom_site_label
_atom_site_type_symbol
_atom_site_fract_x
_atom_site_fract_y
_atom_site_fract_z
Na1 Na 0.000 0.000 0.000
Ni1 Ni 0.500 0.500 0.500
Te1 Te 0.000 0.500 0.000
Te2 Te 0.500 0.000 0.000
I1 I 0.000 0.000 0.500
# Total magnetization (μB/f.u.): 1.84
# Space-group type: P4/mmm
# DOS(E_F) (states/eV/f.u.): 12.939



Arrangement Q

# PBE-GGA NaNiTe2I, optimized geometry
data_NaNiTe2I
_cell_length_a 5.053
_cell_length_b 5.053
_cell_length_c 5.869
_cell_angle_alpha 90.00
_cell_angle_beta 90.00
_cell_angle_gamma 90.00
_space_group_name_H-M_alt 'P 1'
_space_group_IT_number 1
loop_
_space_group_symop_operation_xyz
'x,y,z'
loop_
_atom_site_label
_atom_site_type_symbol
_atom_site_fract_x
_atom_site_fract_y
_atom_site_fract_z
Na1 Na 0.000 0.000 0.000
Ni1 Ni 0.500 0.500 0.500
Te1 Te 0.000 0.500 0.500
Te2 Te 0.500 0.000 0.500
I1 I 0.500 0.500 0.000
# Total magnetization (μB/f.u.): 0.00
# Space-group type: P4/mmm
# DOS(E_F) (states/eV/f.u.): 6.225



The relative energies come out as arrangement P 102.1; arrangement Q 0.0, with values in kJ/mol of atoms.



Arrangement P

# PBE-GGA NaNiTeI2, optimized geometry
data_NaNiTeI2
_cell_length_a 5.621
_cell_length_b 5.621
_cell_length_c 4.966
_cell_angle_alpha 90.00
_cell_angle_beta 90.00
_cell_angle_gamma 90.00
_space_group_name_H-M_alt 'P 1'
_space_group_IT_number 1
loop_
_space_group_symop_operation_xyz
'x,y,z'
loop_
_atom_site_label
_atom_site_type_symbol
_atom_site_fract_x
_atom_site_fract_y
_atom_site_fract_z
Na1 Na 0.000 0.000 0.000
Ni1 Ni 0.500 0.500 0.500
Te1 Te 0.500 0.500 0.000
I1 I 0.000 0.500 0.500
I2 I 0.500 0.000 0.500
# Total magnetization (μB/f.u.): 0.92
# Space-group type: P4/mmm
# DOS(E_F) (states/eV/f.u.): 4.788



Arrangement Q

# PBE-GGA NaNiTeI2, optimized geometry
data_NaNiTeI2
_cell_length_a 5.792
_cell_length_b 5.792
_cell_length_c 5.794
_cell_angle_alpha 90.00
_cell_angle_beta 90.00
_cell_angle_gamma 90.00
_space_group_name_H-M_alt 'P 1'
_space_group_IT_number 1
loop_
_space_group_symop_operation_xyz
'x,y,z'
loop_
_atom_site_label
_atom_site_type_symbol
_atom_site_fract_x
_atom_site_fract_y
_atom_site_fract_z
Na1 Na 0.000 0.000 0.000
Ni1 Ni 0.500 0.500 0.500
Te1 Te 0.000 0.000 0.500
I1 I 0.000 0.500 0.000
I2 I 0.500 0.000 0.000
# Total magnetization (μB/f.u.): 2.96
# Space-group type: P4/mmm
# DOS(E_F) (states/eV/f.u.): 13.941



The relative energies come out as arrangement P 0.0; arrangement Q 92.2, with values in kJ/mol of atoms.